Record 1
First-principles (PBE) data for Ac3In6Cu5 after structural relaxation, as listed in the Alexandria database.

Lattice parameters (Å, degrees): 4.4703 11.3398 13.3606 90.00 90.00 90.00
Element x y z (fractional)
Ac (0.0000, 0.2398, 0.6509)
Ac (0.5000, 0.7602, 0.1509)
Ac (0.5000, 0.7602, 0.8491)
Ac (0.0000, 0.2605, 0.0000)
Ac (0.5000, 0.7395, 0.5000)
Ac (0.0000, 0.2398, 0.3491)
In (0.0000, 0.0106, 0.8304)
In (0.5000, 0.9894, 0.6696)
In (0.5000, 0.4018, 0.8013)
In (0.5000, 0.5131, 0.0000)
In (0.0000, 0.4869, 0.5000)
In (0.0000, 0.5982, 0.6987)
In (0.0000, 0.5982, 0.3013)
In (0.5000, 0.0218, 0.0000)
In (0.0000, 0.0106, 0.1696)
In (0.5000, 0.4018, 0.1987)
In (0.0000, 0.9782, 0.5000)
In (0.5000, 0.9894, 0.3304)
Cu (0.0000, 0.5277, 0.8922)
Cu (0.0000, 0.8435, 0.6723)
Cu (0.0000, 0.8799, 0.0000)
Cu (0.5000, 0.4723, 0.6078)
Cu (0.5000, 0.1201, 0.5000)
Cu (0.0000, 0.5277, 0.1078)
Cu (0.5000, 0.4723, 0.3922)
Cu (0.0000, 0.8435, 0.3277)
Cu (0.5000, 0.1565, 0.8277)
Cu (0.5000, 0.1565, 0.1723)

Crystal system: orthorhombic
Energy relative to the elements in eV per atom: -0.2341
SG: Pmmn, No. 59

Record 2
First-principles (PBE) data for Ac2La3SmSe6 after structural relaxation, as listed in the Alexandria database.

Lattice parameters (Å, degrees): 7.5316 7.5316 7.5203 99.65 99.65 120.12
Element x y z (fractional)
Ac (0.3342, 0.6658, 0.0000)
Ac (0.6658, 0.3342, 0.0000)
La (0.1703, 0.8297, 0.5000)
La (0.8297, 0.1703, 0.5000)
La (0.5000, 0.5000, 0.5000)
Sm (0.0000, 0.0000, 0.0000)
Se (0.9168, 0.5937, 0.7487)
Se (0.7631, 0.7631, 0.2560)
Se (0.0832, 0.4063, 0.2513)
Se (0.5937, 0.9168, 0.7487)
Se (0.2369, 0.2369, 0.7440)
Se (0.4063, 0.0832, 0.2513)

Crystal system: monoclinic
SG: C2/m, No. 12
Energy relative to the elements, uncorrected in eV/f.u.: -23.03

Record 3
First-principles (PBE) data for LaTl5Hg6 after structural relaxation, as listed in the Alexandria database.

Lattice parameters (Å, degrees): 5.6281 7.3039 9.4472 90.00 61.05 90.00
Element x y z (fractional)
Tl (0.6503, 0.5000, 0.6583)
Tl (0.3347, 0.0000, 0.3385)
Tl (0.0000, 0.5000, 0.0000)
Tl (0.6653, 0.0000, 0.6615)
Tl (0.3497, 0.5000, 0.3417)
Hg (0.8547, 0.7505, 0.3279)
Hg (0.8547, 0.2495, 0.3279)
Hg (0.5000, 0.2564, 0.0000)
Hg (0.5000, 0.7436, 0.0000)
Hg (0.1453, 0.7505, 0.6721)
Hg (0.1453, 0.2495, 0.6721)
La (0.0000, 0.0000, 0.0000)

Crystal system: monoclinic
Energy relative to the elements in eV per atom: -0.1221
SG: P2/m, No. 10

Record 4
First-principles (PBE) data for TaMn after structural relaxation, as listed in the Alexandria database.

Lattice parameters (Å, degrees): 5.1591 5.1591 6.1619 71.05 71.05 34.92
Element x y z (fractional)
Ta (0.1679, 0.1679, 0.1983)
Ta (0.5000, 0.5000, 0.0000)
Ta (0.8321, 0.8321, 0.8017)
Mn (0.1610, 0.1610, 0.6676)
Mn (0.5000, 0.5000, 0.5000)
Mn (0.8390, 0.8390, 0.3325)

Crystal system: monoclinic
Energy relative to the elements in eV per atom: 0.0519
SG: C2/m, No. 12

| no. | magnetization (Bohr magnetons per cell) |
| --- | --- |
| 1 | 0.000 |
| 2 | 0.001 |
| 3 | 0.000 |
| 4 | 1.474 |